First-principles (PBE-GGA) data for an optimized crystal structure of Mg2GeF, as listed in Alexandria via LeMat-Bulk.

The calculation puts the raw formation energy at -799 meV per atom. For the volume, the calculation gives 17.19 A^3/atom. The symmetry is Fm-3m (225). The distance to the lowest polymorph of the same formula is 225 meV/atom. The total energy is -3.219 eV/atom.

Lattice parameters (Å, degrees): 4.5989 4.5989 4.5989 60.00 60.00 60.00
Atoms (fractional coordinates):
Ge: 0.5000 0.5000 0.5000
Mg: 0.2500 0.2500 0.2500
Mg: 0.7500 0.7500 0.7500
F: 0.0000 0.0000 0.0000